Record 1
Computed, not measured: an optimized crystal structure of ZnSe2BrN at the PBE-GGA level of DFT.

The value obtained for the uncorrected formation energy is 1.067 eV/atom. For the density of states at the Fermi level, the calculation gives 1.311 states/eV per atom.

a = 5.2736 Å, b = 5.2736 Å, c = 3.6625 Å
α = 90.00°, β = 90.00°, γ = 90.00°
Atoms (fractional coordinates):
N1 0.0000 0.0000 0.5000
Br1 0.5000 0.5000 0.5000
Se1 0.0000 0.5000 0.0000
Se2 0.5000 0.0000 0.0000
Zn1 0.0000 0.0000 0.0000

Record 2
Computed, not measured: an optimized crystal structure of ZnSeBr2N at the PBE-GGA level of DFT.

The value obtained for the uncorrected formation energy is 1.049 eV/atom. For the density of states at the Fermi level, the calculation gives 0.579 states/eV per atom.

a = 5.2935 Å, b = 5.2935 Å, c = 5.0680 Å
α = 90.00°, β = 90.00°, γ = 90.00°
Atoms (fractional coordinates):
Zn1 0.0000 0.0000 0.0000
Se1 0.0000 0.0000 0.5000
N1 0.5000 0.5000 0.5000
Br1 0.5000 0.0000 0.0000
Br2 0.0000 0.5000 0.0000